An optimized crystal structure of ZrScNb2V. Source: Alexandria, functional PBE.

Structure (POSCAR):
```
ZrScNb2V
1.0
4.6895 0.0000 0.0000
0.0000 4.9782 0.0000
0.0000 0.0000 4.6895
Sc Nb Zr V
1 2 1 1
direct
0.5000 0.5000 0.5000 Sc
0.0000 0.0000 0.5000 Nb
0.5000 0.0000 0.0000 Nb
0.0000 0.5000 0.0000 Zr
0.0000 0.0000 0.0000 V
```

Properties
Formation energy ... 0.655 eV/atom
Space group ... No. 123
Size of the total moment ... 0.00 μB/atom
E ... -8.172 eV/atom